No. 1
! RbTmBiSe3 PBE optimized geometry; values from VASP
&SYSTEM
  ibrav = 0, nat = 12, ntyp = 4
/
ATOMIC_SPECIES
Bi 208.98 Bi.upf
Rb 85.47 Rb.upf
Se 78.96 Se.upf
Tm 168.93 Tm.upf
CELL_PARAMETERS angstrom
1.9886 -8.6897 0.0000
1.9886 8.6897 0.0000
0.0000 0.0000 11.9020
ATOMIC_POSITIONS angstrom
Bi 1.9886 6.7571 2.9755
Bi 1.9886 -6.7571 8.9265
Rb 1.9886 -5.4252 2.9755
Rb 1.9886 5.4252 8.9265
Se 1.9886 6.7122 0.0922
Se 1.9886 0.2920 2.9755
Se 1.9886 6.7122 5.8588
Se 1.9886 -6.7122 6.0432
Se 1.9886 -0.2920 8.9265
Se 1.9886 -6.7122 11.8098
Tm 1.9886 0.0000 0.0000
Tm 1.9886 0.0000 5.9510
! raw total energy: -52.2 eV for the cell shown
! ρ: 5.654 g/cm³


No. 2
! BaSnHgS4 PBE optimized geometry; values from VASP
&SYSTEM
  ibrav = 0, nat = 14, ntyp = 4
/
ATOMIC_SPECIES
Ba 137.33 Ba.upf
Hg 200.59 Hg.upf
S 32.06 S.upf
Sn 118.71 Sn.upf
CELL_PARAMETERS angstrom
-3.5375 -10.2831 1.8638
-1.8244 1.7037 5.9372
-4.3607 0.6491 -4.6951
ATOMIC_POSITIONS angstrom
Ba -4.1112 1.5639 0.8256
Ba -5.8800 -3.5776 1.7575
Hg -3.8495 -0.7820 4.7071
Hg -7.2781 -6.6137 -1.3191
S -2.0403 0.3150 3.1183
S -3.2400 -3.1725 3.7504
S -5.2446 -6.5311 2.9964
S -3.9667 -1.5936 0.0068
S -5.0000 -5.3217 -0.9423
S -6.1997 -8.8093 -0.3102
S -6.3983 -0.3672 2.1580
S -8.4333 -5.6195 1.9737
Sn -5.9526 -5.8763 5.2653
Sn -5.6430 -1.3414 -1.7834
! raw total energy: -57.5 eV for the cell shown
! ρ: 4.762 g/cm³


No. 3
! LiTeIrAuS2 PBE optimized geometry; values from VASP
&SYSTEM
  ibrav = 0, nat = 12, ntyp = 5
/
ATOMIC_SPECIES
Au 196.97 Au.upf
Ir 192.22 Ir.upf
Li 6.94 Li.upf
S 32.06 S.upf
Te 127.60 Te.upf
CELL_PARAMETERS angstrom
-4.0369 5.9925 1.2317
2.3120 -5.5106 -4.2441
-7.5685 -5.7986 3.4059
ATOMIC_POSITIONS angstrom
Au -1.8970 -2.7623 -1.3943
Au -7.3963 -2.5543 1.7879
Ir 0.0000 0.0000 0.0000
Ir -3.7842 -2.8993 1.7030
Li -4.1872 1.3870 0.5809
Li -5.1061 -6.7037 -0.1873
S -0.2992 -1.2014 -2.0594
S -3.7561 -3.8499 -0.5038
S -5.5372 -1.4667 0.8974
S -8.9941 -4.1152 2.4531
Te 0.0056 -6.2095 -3.0352
Te -9.2989 0.8929 3.4288
! raw total energy: -55.0 eV for the cell shown
! ρ: 7.731 g/cm³